Record 1
First-principles (PBE-GGA) data for a relaxed YMgZn crystal, as listed in OQMD.

## Properties
Space-group type ... P3m1

Cell lengths 3.617, 3.617, 12.816 Å; angles 90.00, 90.00, 120.00 degrees
Fractional coordinates of all 6 atoms:
1 Y 0.000 0.000 0.000
2 Y 0.333 0.667 0.217
3 Mg 0.000 0.000 0.418
4 Mg 0.000 0.000 0.694
5 Zn 0.667 0.333 0.557
6 Zn 0.667 0.333 0.834



Record 2
First-principles (PBE-GGA) data for a relaxed YMgZn crystal, as listed in OQMD.

## Properties
Space-group type ... P3m1

Cell lengths 4.992, 4.992, 9.221 Å; angles 90.00, 90.00, 120.00 degrees
Fractional coordinates of all 9 atoms:
1 Y 0.000 0.000 0.000
2 Y 0.333 0.667 0.188
3 Y 0.667 0.333 0.606
4 Mg 0.333 0.667 0.506
5 Mg 0.333 0.667 0.823
6 Mg 0.667 0.333 0.953
7 Zn 0.000 0.000 0.364
8 Zn 0.000 0.000 0.677
9 Zn 0.667 0.333 0.274



Record 3
First-principles (PBE-GGA) data for a relaxed YMgZn crystal, as listed in OQMD.

## Properties
Space-group type ... P3m1

Cell lengths 5.018, 5.018, 9.268 Å; angles 90.00, 90.00, 120.00 degrees
Fractional coordinates of all 9 atoms:
1 Y 0.000 0.000 0.000
2 Y 0.333 0.667 0.205
3 Y 0.667 0.333 0.715
4 Mg 0.333 0.667 0.541
5 Mg 0.333 0.667 0.861
6 Mg 0.667 0.333 0.357
7 Zn 0.000 0.000 0.368
8 Zn 0.000 0.000 0.671
9 Zn 0.667 0.333 0.040



Record 4
First-principles (PBE-GGA) data for a relaxed YMgZn crystal, as listed in OQMD.

## Properties
Space-group type ... P3m1

Cell lengths 4.993, 4.993, 9.246 Å; angles 90.00, 90.00, 120.00 degrees
Fractional coordinates of all 9 atoms:
1 Y 0.000 0.000 0.000
2 Y 0.333 0.667 0.189
3 Y 0.667 0.333 0.564
4 Mg 0.000 0.000 0.366
5 Mg 0.333 0.667 0.802
6 Mg 0.667 0.333 0.912
7 Zn 0.000 0.000 0.680
8 Zn 0.333 0.667 0.499
9 Zn 0.667 0.333 0.226



Record 5
First-principles (PBE-GGA) data for a relaxed YMgZn crystal, as listed in OQMD.

## Properties
Space-group type ... P3m1

Cell lengths 3.751, 3.751, 12.466 Å; angles 90.00, 90.00, 120.00 degrees
Fractional coordinates of all 6 atoms:
1 Y 0.000 0.000 0.000
2 Y 0.333 0.667 0.774
3 Mg 0.000 0.000 0.573
4 Mg 0.667 0.333 0.399
5 Zn 0.000 0.000 0.269
6 Zn 0.333 0.667 0.166



Record 6
First-principles (PBE-GGA) data for a relaxed YMgZn crystal, as listed in OQMD.

## Properties
Space-group type ... P1

Cell lengths 3.613, 3.917, 10.237 Å; angles 95.86, 99.10, 100.09 degrees
Fractional coordinates of all 6 atoms:
1 Y 0.000 0.000 0.000
2 Y 0.002 0.498 0.500
3 Mg 0.627 0.054 0.700
4 Mg 0.631 0.551 0.200
5 Zn 0.309 0.520 0.828
6 Zn 0.315 0.016 0.328



Short version: uncorrected energy = -3.031; -3.204; -3.276; -3.301; -3.008; -3.169 eV per atom, in the order given.